(1)
First-principles (GGA-PBE) data for a geometry-optimized GdHo2 structure, as listed in the Alexandria database.

Summary:
**Energy above the most stable polymorph in this dataset**: 223.8 meV/atom
**Energy of formation from the pure elements**: 246.6 meV/atom
**Total magnetization**: 67.56 μB/cell
**Total energy**: -7.50 eV per atom

Unit cell a=9.2858 b=9.2858 c=9.2858 alpha=90.00 beta=90.00 gamma=90.00
Space group Fd-3m (No. 227, origin choice 2)
Inequivalent atoms, fractional coordinates:
Gd: 0.1250 0.1250 0.1250 (multiplicity 8)
Ho: 0.0000 0.0000 0.5000 (multiplicity 16)


(2)
First-principles (GGA-PBE) data for a geometry-optimized PtS4I structure, as listed in the Alexandria database.

Summary:
**Energy relative to the elements, uncorrected**: 0.0549 eV per atom
**Total magnetization**: 0.01 μB/cell
**Total energy**: -3.96 eV per atom

Unit cell a=9.3020 b=13.5665 c=5.6624 alpha=90.00 beta=98.25 gamma=90.00
Space group C2/c (No. 15)
Inequivalent atoms, fractional coordinates:
Pt: 0.0000 0.0815 0.2500 (multiplicity 4)
S: 0.0952 0.0790 0.8764 (multiplicity 8)
S: 0.1063 0.2396 0.3284 (multiplicity 8)
I: 0.0000 0.4758 0.7500 (multiplicity 4)


(3)
First-principles (GGA-PBE) data for a geometry-optimized CaTa3 structure, as listed in the Alexandria database.

Summary:
**Energy of formation from the pure elements**: 730.7 meV/atom
**Total magnetization**: 0.00 μB/cell
**Total energy**: -8.66 eV per atom

Unit cell a=4.7943 b=4.7943 c=14.1147 alpha=90.00 beta=90.00 gamma=90.00
Space group I4/mmm (No. 139)
Inequivalent atoms, fractional coordinates:
Ca: 0.0000 0.0000 0.1316 (multiplicity 4)
Ta: 0.0000 0.0000 0.3764 (multiplicity 4)
Ta: 0.0000 0.5000 0.0000 (multiplicity 4)
Ta: 0.0000 0.5000 0.2500 (multiplicity 4)


(4)
First-principles (GGA-PBE) data for a geometry-optimized Nb2Fe3Pt4 structure, as listed in the Alexandria database.

Summary:
**Energy of formation from the pure elements**: -407.0 meV/atom
**Total magnetization**: 14.63 μB/cell
**Total energy**: -8.15 eV per atom

Unit cell a=8.8572 b=3.9068 c=8.2392 alpha=90.00 beta=109.97 gamma=90.00
Space group C2/m (No. 12)
Inequivalent atoms, fractional coordinates:
Nb: 0.1713 0.0000 0.2274 (multiplicity 4)
Fe: 0.0000 0.5000 0.0000 (multiplicity 2)
Fe: 0.1610 0.0000 0.5524 (multiplicity 4)
Pt: 0.0104 0.5000 0.3370 (multiplicity 4)
Pt: 0.1654 0.0000 0.8877 (multiplicity 4)